No. 1
Crystalline Ac2Al12Rh7 at its relaxed geometry, computed with GGA-PBE.

Calculated values
**Formation energy from the elements**: -17.73 eV/f.u.
**Crystal system**: hexagonal

```
data_Ac2Al12Rh7
_space_group_name_H-M_alt 'P -6'
_space_group_IT_number 174
_cell_length_a 10.0058
_cell_length_b 10.0058
_cell_length_c 4.1386
_cell_angle_alpha 90.00
_cell_angle_beta 90.00
_cell_angle_gamma 120.00
loop_
_space_group_symop_operation_xyz
'x,y,z'
'-x+y,-x,-z'
'-y,x-y,z'
'x,y,-z'
'-x+y,-x,z'
'-y,x-y,-z'
loop_
_atom_site_label
_atom_site_fract_x
_atom_site_fract_y
_atom_site_fract_z
_atom_site_occupancy
Ac1 0.0000 0.0000 0.0000 1
Ac2 0.3333 0.6667 0.5000 1
Al1 0.0621 0.6768 0.0000 1
Al2 0.1104 0.2789 0.5000 1
Al3 0.4778 0.2242 0.0000 1
Al4 0.5067 0.0514 0.5000 1
Rh1 0.0659 0.3979 0.0000 1
Rh2 0.3202 0.1940 0.5000 1
Rh3 0.6667 0.3333 0.5000 1
```


No. 2
Crystalline CdIrN3 at its relaxed geometry, computed with GGA-PBE.

Calculated values
**Crystal system**: cubic
**E_form (uncorrected)**: 1349 meV per atom

```
data_CdIrN3
_space_group_name_H-M_alt 'P m -3 m'
_space_group_IT_number 221
_space_group_name_Hall '-P 4 2 3'
_cell_length_a 3.9107
_cell_length_b 3.9107
_cell_length_c 3.9107
_cell_angle_alpha 90.00
_cell_angle_beta 90.00
_cell_angle_gamma 90.00
loop_
_atom_site_label
_atom_site_fract_x
_atom_site_fract_y
_atom_site_fract_z
_atom_site_occupancy
Cd1 0.0000 0.0000 0.0000 1
Ir1 0.5000 0.5000 0.5000 1
N1 0.0000 0.5000 0.5000 1
```


No. 3
Crystalline LiNd2SnTe4 at its relaxed geometry, computed with GGA-PBE.

Calculated values
**Crystal system**: monoclinic
**E_form (uncorrected)**: -1038 meV per atom

```
data_LiNd2SnTe4
_space_group_name_H-M_alt 'P 1 2/m 1'
_space_group_IT_number 10
_cell_length_a 7.6431
_cell_length_b 4.4274
_cell_length_c 7.9128
_cell_angle_alpha 90.00
_cell_angle_beta 108.70
_cell_angle_gamma 90.00
loop_
_space_group_symop_operation_xyz
'x,y,z'
'-x,-y,-z'
'-x,y,-z'
'x,-y,z'
loop_
_atom_site_label
_atom_site_fract_x
_atom_site_fract_y
_atom_site_fract_z
_atom_site_occupancy
Li1 0.0000 0.0000 0.0000 1
Nd1 0.0000 0.5000 0.5000 1
Nd2 0.5000 0.0000 0.5000 1
Sn1 0.5000 0.5000 0.0000 1
Te1 0.2431 0.5000 0.2413 1
Te2 0.2464 0.0000 0.7586 1
```